DFT (GGA-PBE) results for crystalline NaTmZn at its relaxed geometry.

- excess energy over the best structure of this formula in the dataset (meV/atom) = 330.4
- crystal system = cubic
- total magnetization (μB/f.u.) = 0.2

Lattice parameters (Å, degrees): 4.9342 4.9342 4.9342 60.00 60.00 60.00
With the nearest neighbours (Å) after each atom.
Sites, in units of the cell vectors:
Na (0.2500, 0.2500, 0.2500)  4 Tm 3.02
Tm (0.0000, 0.0000, 0.0000)  4 Zn 3.02, 4 Na 3.02
Zn (0.7500, 0.7500, 0.7500)  4 Tm 3.02